(1)
## Pm4Nd4Tm3 (PBE-GGA)

Data for an optimized crystal structure of Pm4Nd4Tm3.

a b c (Å): 3.565 5.715 18.341
angles (deg): 81.10 84.43 89.99
Space group P-1 (No. 2)
One atom of each set of equivalent atoms:
Pm (0.090, 0.091, 0.320) x2
Pm (0.232, 0.732, 0.035) x2
Nd (0.046, 0.548, 0.408) x2
Nd (0.179, 0.180, 0.141) x2
Tm (0.365, 0.364, 0.771) x2
Tm (0.500, 0.000, 0.500) x1

- magnetic moment (μB/atom) = 0.00
- crystal system = triclinic
- energy relative to the elements (meV per atom) = 57
- DOS(E_F) (states/eV/f.u.) = 19.26
- VASP energy (eV per atom) = -4.624


(2)
## Pm5NdTm2 (PBE-GGA)

Data for an optimized crystal structure of Pm5NdTm2.

a b c (Å): 16.831 9.982 6.541
angles (deg): 90.00 98.96 90.00
Space group C2/c (No. 15)
One atom of each set of equivalent atoms:
Pm (0.000, 0.054, 0.250) x4
Pm (0.095, 0.403, 0.136) x8
Pm (0.200, 0.088, 0.016) x8
Nd (0.250, 0.250, 0.500) x4
Tm (0.077, 0.255, 0.626) x8

- magnetic moment (μB/atom) = 0.00
- crystal system = monoclinic
- energy relative to the elements (meV per atom) = 153
- DOS(E_F) (states/eV/f.u.) = 12.95
- VASP energy (eV per atom) = -4.530


What did the second record say?
## Pm5NdTm2 (PBE-GGA)

Data for an optimized crystal structure of Pm5NdTm2.

a b c (Å): 16.831 9.982 6.541
angles (deg): 90.00 98.96 90.00
Space group C2/c (No. 15)
One atom of each set of equivalent atoms:
Pm (0.000, 0.054, 0.250) x4
Pm (0.095, 0.403, 0.136) x8
Pm (0.200, 0.088, 0.016) x8
Nd (0.250, 0.250, 0.500) x4
Tm (0.077, 0.255, 0.626) x8

- magnetic moment (μB/atom) = 0.00
- crystal system = monoclinic
- energy relative to the elements (meV per atom) = 153
- DOS(E_F) (states/eV/f.u.) = 12.95
- VASP energy (eV per atom) = -4.530


Q: The highest VASP energy belongs to which entry?
A: Pm5NdTm2